Material: CrH12C8S2N2O2
Method: DFT, GGA+U
State: optimized geometry

abc: 5.9126 8.0129 8.0564
angles: 105.04 99.60 96.62
Last column: nearest neighbours and their distance in Å.
Sites, in units of the cell vectors:
1 Cr 0.5000 0.5000 0.5000  2 N 2.06, 2 O 2.10
2 H 0.9328 0.3988 0.7316  1 C 1.09
3 H 0.0672 0.6012 0.2684  1 C 1.09
4 H 0.9513 0.2977 0.9097  1 C 1.10
5 H 0.0487 0.7023 0.0903  1 C 1.10
6 H 0.8937 0.1661 0.6907  1 C 1.10
7 H 0.1063 0.8339 0.3093  1 C 1.10
8 H 0.3092 0.1347 0.8228  1 C 1.09
9 H 0.6908 0.8653 0.1772  1 C 1.09
10 H 0.5747 0.0455 0.8535  1 C 1.10
11 H 0.4253 0.9545 0.1465  1 C 1.10
12 H 0.5437 0.2390 0.0062  1 C 1.10
13 H 0.4563 0.7610 0.9938  1 C 1.10
14 C 0.8621 0.2896 0.7758  3 H 1.09-1.10
15 C 0.1379 0.7104 0.2242  3 H 1.09-1.10
16 C 0.6059 0.2754 0.7652  1 O 1.25
17 C 0.3941 0.7246 0.2348  1 O 1.25
18 C 0.4986 0.1658 0.8655  3 H 1.09-1.10
19 C 0.5014 0.8342 0.1345  3 H 1.09-1.10
20 C 0.8866 0.2999 0.3296  1 N 1.19
21 C 0.1134 0.7001 0.6704  1 N 1.19
22 S 0.1073 0.2257 0.2596  1 C 1.62
23 S 0.8927 0.7743 0.7404  1 C 1.62
24 N 0.7247 0.3552 0.3798  1 C 1.19
25 N 0.2753 0.6448 0.6202  1 C 1.19
26 O 0.4796 0.3492 0.6772  1 C 1.25
27 O 0.5204 0.6508 0.3228  1 C 1.25

Summary:
E_tot (eV per atom): -6.058